Compound: TlCdSn2Pb
Source: Alexandria
Functional: PBE
Structure: optimized geometry

Output
density of states at the Fermi level	5.01	states/eV per cell
density	8.48	Mg/m³
DFT formation energy	0.067	eV/atom

a = 4.454 Å, b = 8.631 Å, c = 10.094 Å
α = 129.77°, β = 90.00°, γ = 90.00°
Positions (direct):
1 Pb 0.250 0.401 0.056
2 Pb 0.750 0.599 0.944
3 Tl 0.750 0.980 0.817
4 Tl 0.250 0.020 0.183
5 Cd 0.750 0.294 0.513
6 Cd 0.250 0.706 0.487
7 Sn 0.250 0.157 0.638
8 Sn 0.750 0.387 0.277
9 Sn 0.750 0.843 0.362
10 Sn 0.250 0.613 0.723


Compound: VCd2SnPb
Source: Alexandria
Functional: PBE
Structure: optimized geometry

Output
density of states at the Fermi level	3.86	states/eV per cell
density	6.73	Mg/m³
DFT formation energy	0.634	eV/atom

a = 5.308 Å, b = 5.269 Å, c = 5.308 Å
α = 90.00°, β = 90.00°, γ = 90.00°
Positions (direct):
1 V 0.000 0.000 0.000
2 Sn 0.500 0.500 0.500
3 Cd 0.500 0.000 0.000
4 Cd 0.000 0.000 0.500
5 Pb 0.000 0.500 0.000